Record 1
## Zr2TaC2 (PBE-GGA)

Data for a geometry-optimized Zr2TaC2 structure.

Output
- Fermi-level density of states: 0.59 states/eV/atom
- Space group: I4/mmm

Cell: 3.7770 3.7770 9.8595 Å, 90.00 90.00 90.00°
Atoms (fractional coordinates):
Zr 0.0000 0.5000 0.2500
Zr 0.0000 0.5000 0.7500
Zr 0.5000 0.0000 0.2500
Zr 0.5000 0.0000 0.7500
Ta 0.0000 0.0000 0.0000
Ta 0.5000 0.5000 0.5000
C 0.0000 0.0000 0.4271
C 0.0000 0.0000 0.5729
C 0.5000 0.5000 0.0729
C 0.5000 0.5000 0.9271



Record 2
## ZrTaC2 (PBE-GGA)

Data for a geometry-optimized ZrTaC2 structure.

Output
- Fermi-level density of states: 0.53 states/eV/atom
- Space group: Pmmm

Cell: 3.1261 3.4500 4.7780 Å, 90.00 90.00 90.00°
Atoms (fractional coordinates):
Zr 0.0000 0.0000 0.0000
Ta 0.0000 0.5000 0.5000
C 0.5000 0.5000 0.1576
C 0.5000 0.5000 0.8424



Record 3
## Zr2TaC (PBE-GGA)

Data for a geometry-optimized Zr2TaC structure.

Output
- Fermi-level density of states: 0.57 states/eV/atom
- Space group: Cmmm

Cell: 4.4083 10.0717 3.2423 Å, 90.00 90.00 90.00°
Atoms (fractional coordinates):
Zr 0.0000 0.1535 0.0000
Zr 0.0000 0.8465 0.0000
Zr 0.5000 0.3465 0.0000
Zr 0.5000 0.6535 0.0000
Ta 0.0000 0.5000 0.5000
Ta 0.5000 0.0000 0.5000
C 0.0000 0.0000 0.5000
C 0.5000 0.5000 0.5000



Record 4
## Zr2TaC (PBE-GGA)

Data for a geometry-optimized Zr2TaC structure.

Output
- Fermi-level density of states: 1.16 states/eV/atom
- Space group: I-42d

Cell: 8.3210 8.3210 4.3202 Å, 90.00 90.00 90.00°
Atoms (fractional coordinates):
Zr 0.1164 0.7500 0.1250
Zr 0.2500 0.1164 0.8750
Zr 0.2500 0.3836 0.3750
Zr 0.3836 0.7500 0.6250
Zr 0.6164 0.2500 0.6250
Zr 0.7500 0.6164 0.3750
Zr 0.7500 0.8836 0.8750
Zr 0.8836 0.2500 0.1250
Ta 0.0000 0.0000 0.5000
Ta 0.0000 0.5000 0.7500
Ta 0.5000 0.0000 0.2500
Ta 0.5000 0.5000 0.0000
C 0.0000 0.0000 0.0000
C 0.0000 0.5000 0.2500
C 0.5000 0.0000 0.7500
C 0.5000 0.5000 0.5000



Record 5
## Zr5TaC6 (PBE-GGA)

Data for a geometry-optimized Zr5TaC6 structure.

Output
- Fermi-level density of states: 0.16 states/eV/atom
- Space group: C2/m

Cell: 5.7304 5.7304 5.7300 Å, 99.62 99.62 119.97°
Atoms (fractional coordinates):
Zr 0.0000 0.0000 0.0000
Zr 0.1664 0.8336 0.5000
Zr 0.3329 0.6671 0.0000
Zr 0.6671 0.3329 0.0000
Zr 0.8336 0.1664 0.5000
Ta 0.5000 0.5000 0.5000
C 0.0935 0.4188 0.2558
C 0.2567 0.2567 0.7449
C 0.4188 0.0935 0.2558
C 0.5812 0.9065 0.7442
C 0.7433 0.7433 0.2551
C 0.9065 0.5812 0.7442



Record 6
## ZrTa2C3 (PBE-GGA)

Data for a geometry-optimized ZrTa2C3 structure.

Output
- Fermi-level density of states: 0.26 states/eV/atom
- Space group: Immm

Cell: 3.2089 4.5659 9.6680 Å, 90.00 90.00 90.00°
Atoms (fractional coordinates):
Zr 0.0000 0.0000 0.0000
Zr 0.5000 0.5000 0.5000
Ta 0.0000 0.0000 0.3344
Ta 0.0000 0.0000 0.6656
Ta 0.5000 0.5000 0.1656
Ta 0.5000 0.5000 0.8344
C 0.0000 0.5000 0.0000
C 0.0000 0.5000 0.3265
C 0.0000 0.5000 0.6735
C 0.5000 0.0000 0.1735
C 0.5000 0.0000 0.5000
C 0.5000 0.0000 0.8265



Record 7
## Zr2TaC (PBE-GGA)

Data for a geometry-optimized Zr2TaC structure.

Output
- Fermi-level density of states: 0.74 states/eV/atom
- Space group: P4mm

Cell: 3.0661 3.0661 7.9189 Å, 90.00 90.00 90.00°
Atoms (fractional coordinates):
Zr 0.0000 0.0000 0.0000
Zr 0.5000 0.5000 0.2893
Ta 0.5000 0.5000 0.6802
C 0.0000 0.0000 0.6795



Record 8
## ZrTaC2 (PBE-GGA)

Data for a geometry-optimized ZrTaC2 structure.

Output
- Fermi-level density of states: 0.43 states/eV/atom
- Space group: C2/m

Cell: 6.2935 6.2823 3.1848 Å, 90.00 119.64 90.00°
Atoms (fractional coordinates):
Zr 0.0000 0.0000 0.0000
Zr 0.5000 0.5000 0.0000
Ta 0.0000 0.5000 0.0000
Ta 0.5000 0.0000 0.0000
C 0.0000 0.2638 0.5000
C 0.0000 0.7362 0.5000
C 0.5000 0.2362 0.5000
C 0.5000 0.7638 0.5000



Record 9
## Zr2TaC3 (PBE-GGA)

Data for a geometry-optimized Zr2TaC3 structure.

Output
- Fermi-level density of states: 0.22 states/eV/atom
- Space group: I4/mmm

Cell: 3.2796 3.2796 13.9008 Å, 90.00 90.00 90.00°
Atoms (fractional coordinates):
Zr 0.0000 0.0000 0.1658
Zr 0.0000 0.0000 0.8342
Zr 0.5000 0.5000 0.3342
Zr 0.5000 0.5000 0.6658
Ta 0.0000 0.0000 0.5000
Ta 0.5000 0.5000 0.0000
C 0.0000 0.0000 0.0000
C 0.0000 0.0000 0.3384
C 0.0000 0.0000 0.6616
C 0.5000 0.5000 0.1616
C 0.5000 0.5000 0.5000
C 0.5000 0.5000 0.8384



Record 10
## ZrTaC2 (PBE-GGA)

Data for a geometry-optimized ZrTaC2 structure.

Output
- Fermi-level density of states: 0.36 states/eV/atom
- Space group: R-3m

Cell: 3.2413 3.2413 15.9869 Å, 90.00 90.00 120.00°
Atoms (fractional coordinates):
Zr 0.0000 0.0000 0.0000
Zr 0.3333 0.6667 0.6667
Zr 0.6667 0.3333 0.3333
Ta 0.0000 0.0000 0.5000
Ta 0.3333 0.6667 0.1667
Ta 0.6667 0.3333 0.8333
C 0.0000 0.0000 0.2450
C 0.0000 0.0000 0.7550
C 0.3333 0.6667 0.4216
C 0.3333 0.6667 0.9117
C 0.6667 0.3333 0.0883
C 0.6667 0.3333 0.5784



Record 11
## ZrTaC2 (PBE-GGA)

Data for a geometry-optimized ZrTaC2 structure.

Output
- Fermi-level density of states: 0.55 states/eV/atom
- Space group: Imm2

Cell: 2.9654 3.0303 11.1699 Å, 90.00 90.00 90.00°
Atoms (fractional coordinates):
Zr 0.0000 0.0000 0.0000
Zr 0.5000 0.5000 0.5000
Ta 0.0000 0.5000 0.2487
Ta 0.5000 0.0000 0.7487
C 0.0000 0.0000 0.6035
C 0.0000 0.5000 0.8347
C 0.5000 0.0000 0.3347
C 0.5000 0.5000 0.1035



Record 12
## ZrTaC2 (PBE-GGA)

Data for a geometry-optimized ZrTaC2 structure.

Output
- Fermi-level density of states: 0.37 states/eV/atom
- Space group: I-42d

Cell: 4.9857 4.9857 9.8790 Å, 90.00 90.00 90.00°
Atoms (fractional coordinates):
Zr 0.0000 0.0000 0.0000
Zr 0.0000 0.5000 0.2500
Zr 0.5000 0.0000 0.7500
Zr 0.5000 0.5000 0.5000
Ta 0.0000 0.0000 0.5000
Ta 0.0000 0.5000 0.7500
Ta 0.5000 0.0000 0.2500
Ta 0.5000 0.5000 0.0000
C 0.2266 0.2500 0.6250
C 0.2500 0.7266 0.8750
C 0.2500 0.7734 0.3750
C 0.2734 0.2500 0.1250
C 0.7266 0.7500 0.1250
C 0.7500 0.2266 0.3750
C 0.7500 0.2734 0.8750
C 0.7734 0.7500 0.6250



Record 13
## Zr2TaC (PBE-GGA)

Data for a geometry-optimized Zr2TaC structure.

Output
- Fermi-level density of states: 0.67 states/eV/atom
- Space group: Amm2

Cell: 3.2081 4.8523 9.1473 Å, 90.00 90.00 90.00°
Atoms (fractional coordinates):
Zr 0.0000 0.0000 0.0000
Zr 0.0000 0.5000 0.5000
Zr 0.5000 0.0000 0.3323
Zr 0.5000 0.5000 0.8323
Ta 0.5000 0.0000 0.6598
Ta 0.5000 0.5000 0.1598
C 0.0000 0.0000 0.5070
C 0.0000 0.5000 0.0070



Record 14
## ZrTaC2 (PBE-GGA)

Data for a geometry-optimized ZrTaC2 structure.

Output
- Fermi-level density of states: 0.45 states/eV/atom
- Space group: R3m

Cell: 3.2071 3.2071 16.7824 Å, 90.00 90.00 120.00°
Atoms (fractional coordinates):
Zr 0.0000 0.0000 0.0000
Zr 0.3333 0.6667 0.6667
Zr 0.6667 0.3333 0.3333
Ta 0.0000 0.0000 0.8245
Ta 0.3333 0.6667 0.4912
Ta 0.6667 0.3333 0.1578
C 0.0000 0.0000 0.4127
C 0.0000 0.0000 0.5723
C 0.3333 0.6667 0.0794
C 0.3333 0.6667 0.2389
C 0.6667 0.3333 0.7460
C 0.6667 0.3333 0.9056



Record 15
## ZrTaC (PBE-GGA)

Data for a geometry-optimized ZrTaC structure.

Output
- Fermi-level density of states: 0.66 states/eV/atom
- Space group: C2/m

Cell: 10.4394 3.2560 5.5979 Å, 90.00 100.79 90.00°
Atoms (fractional coordinates):
Zr 0.1250 0.0000 0.3760
Zr 0.3750 0.5000 0.6240
Zr 0.6250 0.5000 0.3760
Zr 0.8750 0.0000 0.6240
Ta 0.1140 0.5000 0.8730
Ta 0.3860 0.0000 0.1270
Ta 0.6140 0.0000 0.8730
Ta 0.8860 0.5000 0.1270
C 0.0000 0.0000 0.0000
C 0.0000 0.5000 0.5000
C 0.5000 0.0000 0.5000
C 0.5000 0.5000 0.0000



Record 16
## ZrTaC2 (PBE-GGA)

Data for a geometry-optimized ZrTaC2 structure.

Output
- Fermi-level density of states: 0.90 states/eV/atom
- Space group: F-43m

Cell: 5.9495 5.9495 5.9495 Å, 90.00 90.00 90.00°
Atoms (fractional coordinates):
Zr 0.0000 0.0000 0.0000
Zr 0.0000 0.5000 0.5000
Zr 0.5000 0.0000 0.5000
Zr 0.5000 0.5000 0.0000
Ta 0.2500 0.2500 0.7500
Ta 0.2500 0.7500 0.2500
Ta 0.7500 0.2500 0.2500
Ta 0.7500 0.7500 0.7500
C 0.0000 0.0000 0.5000
C 0.0000 0.5000 0.0000
C 0.2500 0.2500 0.2500
C 0.2500 0.7500 0.7500
C 0.5000 0.0000 0.0000
C 0.5000 0.5000 0.5000
C 0.7500 0.2500 0.7500
C 0.7500 0.7500 0.2500



Record 17
## Zr2TaC (PBE-GGA)

Data for a geometry-optimized Zr2TaC structure.

Output
- Fermi-level density of states: 0.99 states/eV/atom
- Space group: Cmm2

Cell: 3.2553 5.1798 8.3108 Å, 90.00 90.00 90.00°
Atoms (fractional coordinates):
Zr 0.0000 0.0000 0.0000
Zr 0.0000 0.5000 0.3305
Zr 0.5000 0.0000 0.3305
Zr 0.5000 0.5000 0.0000
Ta 0.0000 0.0000 0.6361
Ta 0.5000 0.5000 0.6361
C 0.0000 0.5000 0.8038
C 0.5000 0.0000 0.8038



Record 18
## ZrTa5C5 (PBE-GGA)

Data for a geometry-optimized ZrTa5C5 structure.

Output
- Fermi-level density of states: 0.30 states/eV/atom
- Space group: C2/m

Cell: 5.5002 5.5002 6.3259 Å, 106.75 106.75 48.73°
Atoms (fractional coordinates):
Zr 0.0000 0.0000 0.0000
Ta 0.0000 0.0000 0.5000
Ta 0.3284 0.3284 0.6680
Ta 0.3299 0.3299 0.1617
Ta 0.6701 0.6701 0.8383
Ta 0.6716 0.6716 0.3320
C 0.1691 0.1691 0.3406
C 0.1720 0.1720 0.8310
C 0.5000 0.5000 0.0000
C 0.8280 0.8280 0.1690
C 0.8309 0.8309 0.6594



Record 19
## Zr2TaC2 (PBE-GGA)

Data for a geometry-optimized Zr2TaC2 structure.

Output
- Fermi-level density of states: 0.50 states/eV/atom
- Space group: P4/mbm

Cell: 6.3543 6.3543 3.3688 Å, 90.00 90.00 90.00°
Atoms (fractional coordinates):
Zr 0.1616 0.3384 0.0000
Zr 0.3384 0.8384 0.0000
Zr 0.6616 0.1616 0.0000
Zr 0.8384 0.6616 0.0000
Ta 0.0000 0.0000 0.5000
Ta 0.5000 0.5000 0.5000
C 0.1567 0.6567 0.5000
C 0.3433 0.1567 0.5000
C 0.6567 0.8433 0.5000
C 0.8433 0.3433 0.5000



Record 20
## ZrTaC (PBE-GGA)

Data for a geometry-optimized ZrTaC structure.

Output
- Fermi-level density of states: 0.75 states/eV/atom
- Space group: I4mm

Cell: 3.0678 3.0678 10.2774 Å, 90.00 90.00 90.00°
Atoms (fractional coordinates):
Zr 0.0000 0.0000 0.0000
Zr 0.5000 0.5000 0.5000
Ta 0.0000 0.0000 0.2894
Ta 0.5000 0.5000 0.7894
C 0.0000 0.0000 0.7504
C 0.5000 0.5000 0.2504



Number 1: raw total energy -89.76 eV for the cell shown. Number 2: raw total energy -39.56 eV for the cell shown. Number 3: raw total energy -78.31 eV for the cell shown. Number 4: raw total energy -150.66 eV for the cell shown. Number 5: raw total energy -119.49 eV for the cell shown. Number 6: raw total energy -128.00 eV for the cell shown. Number 7: raw total energy -37.88 eV for the cell shown. Number 8: raw total energy -76.37 eV for the cell shown. Number 9: raw total energy -122.10 eV for the cell shown. Number 10: raw total energy -125.39 eV for the cell shown. Number 11: raw total energy -78.62 eV for the cell shown. Number 12: raw total energy -158.06 eV for the cell shown. Number 13: raw total energy -79.28 eV for the cell shown. Number 14: raw total energy -121.97 eV for the cell shown. Number 15: raw total energy -124.30 eV for the cell shown. Number 16: raw total energy -120.40 eV for the cell shown. Number 17: raw total energy -75.94 eV for the cell shown. Number 18: raw total energy -120.83 eV for the cell shown. Number 19: raw total energy -97.71 eV for the cell shown. Number 20: raw total energy -58.54 eV for the cell shown.